No. 1
## LiScPd2 (PBE)

Data for a geometry-optimized LiScPd2 structure.

The symmetry is P6_3/mmc, No. 194. For the calculated total energy, the calculation gives -5.226 eV per atom.

Cell: 4.4714 4.4714 8.2176 Å, 90.00 90.00 120.00°
Fractional coordinates of all 8 atoms:
1 Pd 0.6667 0.3333 0.4106
2 Sc 0.0000 0.0000 0.0000
3 Pd 0.3333 0.6667 0.9106
4 Pd 0.3333 0.6667 0.5894
5 Li 0.6667 0.3333 0.7500
6 Li 0.3333 0.6667 0.2500
7 Sc 0.0000 0.0000 0.5000
8 Pd 0.6667 0.3333 0.0894



No. 2
## TeMoSe3Br (PBE)

Data for a geometry-optimized TeMoSe3Br structure.

The symmetry is P-1, No. 2. For the calculated total energy, the calculation gives -4.742 eV per atom.

Cell: 6.4846 8.1619 8.2721 Å, 118.23 104.80 97.93°
Fractional coordinates of all 12 atoms:
1 Se 0.0269 0.8554 0.1567
2 Te 0.1351 0.3308 0.2381
3 Se 0.6065 0.0829 0.2847
4 Te 0.8649 0.6692 0.7619
5 Se 0.3935 0.9171 0.7153
6 Se 0.5385 0.2370 0.9901
7 Mo 0.2252 0.0002 0.9994
8 Br 0.2654 0.3698 0.6127
9 Se 0.9731 0.1446 0.8433
10 Br 0.7346 0.6302 0.3873
11 Mo 0.7748 0.9998 0.0006
12 Se 0.4615 0.7630 0.0099



No. 3
## Nd3Sb2Te (PBE)

Data for a geometry-optimized Nd3Sb2Te structure.

The symmetry is P-3m1, No. 164. For the calculated total energy, the calculation gives -5.588 eV per atom.

Cell: 4.5193 4.5193 11.0691 Å, 90.00 90.00 120.00°
Fractional coordinates of all 6 atoms:
1 Sb 0.3333 0.6667 0.8338
2 Te 0.0000 0.0000 0.5000
3 Nd 0.3333 0.6667 0.3244
4 Nd 0.0000 0.0000 0.0000
5 Sb 0.6667 0.3333 0.1662
6 Nd 0.6667 0.3333 0.6756



| no. | excess energy over the best structure of this formula in the dataset (eV/atom) | theoretical density (g/cm3) |
| --- | --- | --- |
| 1 | 0.184 | 6.18 |
| 2 | 0.000 | 5.05 |
| 3 | 0.006 | 6.82 |